VASP calculation (GGA-PBE) on an optimized crystal structure of AsPbCl2.

Cell lengths 5.4184, 5.4184, 3.3364 Å; angles 90.00, 90.00, 105.37 degrees
With the nearest neighbours (Å) after each atom.
Positions (direct):
As 0.0000 0.0000 0.0000  8 Cl 3.18, 2 Pb 3.28, 2 As 3.34
Pb 0.5000 0.5000 0.0000  8 Cl 3.18, 2 As 3.28, 2 Pb 3.34
Cl 0.0000 0.5000 0.5000  4 Pb 3.18, 4 As 3.18, 4 Cl 3.28-3.34
Cl 0.5000 0.0000 0.5000  4 Pb 3.18, 4 As 3.18, 4 Cl 3.28-3.34

Output
* total magnetic moment: 0.00 μB/cell
* SG: No. 65
* offset from the most stable computed form: 9.243 kcal/mol of atoms
* formation energy (no corrections): -0.035 eV per atom